DFT (PBE) results for a relaxed structure of ScNb3Au.

abc: 4.997 4.997 4.997
angles: 90.00 90.00 90.00
Fractional positions:
Sc 0.500 0.500 0.500
Nb 0.000 0.500 0.000
Nb 0.000 0.000 0.500
Nb 0.500 0.000 0.000
Au 0.000 0.000 0.000



DFT (PBE) results for a relaxed structure of CaCd2P2.

abc: 7.840 7.840 3.487
angles: 90.00 90.00 90.00
Fractional positions:
P 0.187 0.687 0.500
P 0.687 0.813 0.500
P 0.813 0.313 0.500
P 0.313 0.187 0.500
Ca 0.000 0.000 0.000
Ca 0.500 0.500 0.000
Cd 0.376 0.876 0.000
Cd 0.876 0.624 0.000
Cd 0.624 0.124 0.000
Cd 0.124 0.376 0.000



| no. | E_form (eV per atom) | distance to the lowest polymorph of the same formula (eV per atom) |
| --- | --- | --- |
| 1 | 1.297 | 0.000 |
| 2 | -0.091 | 0.477 |